A plane-wave DFT calculation with PBE was carried out for a geometry-optimized V3CrMo3 structure.

abc: 4.280 10.068 9.701
angles: 90.00 90.00 90.00
Sites, in units of the cell vectors:
V: 0.750 0.671 0.825
V: 0.250 0.829 0.325
V: 0.250 0.329 0.175
V: 0.750 0.171 0.675
V: 0.750 0.185 0.973
V: 0.250 0.315 0.473
V: 0.250 0.815 0.027
V: 0.750 0.685 0.527
V: 0.750 0.909 0.663
V: 0.250 0.591 0.163
V: 0.250 0.091 0.337
V: 0.750 0.409 0.837
Cr: 0.750 0.968 0.172
Cr: 0.250 0.532 0.672
Cr: 0.250 0.032 0.828
Cr: 0.750 0.468 0.328
Mo: 0.750 0.923 0.920
Mo: 0.250 0.577 0.420
Mo: 0.250 0.077 0.080
Mo: 0.750 0.423 0.580
Mo: 0.750 0.951 0.418
Mo: 0.250 0.549 0.918
Mo: 0.250 0.049 0.582
Mo: 0.750 0.451 0.082
Mo: 0.750 0.720 0.227
Mo: 0.250 0.780 0.727
Mo: 0.250 0.280 0.773
Mo: 0.750 0.220 0.273

ΔE_f (eV/atom): 0.251